Material: La2ZrAl
Method: DFT, PBE
State: optimized geometry

Cell lengths 3.405, 3.405, 9.634 Å; angles 90.00, 90.00, 90.00 degrees
Atoms (fractional coordinates):
La 0.000 0.000 0.233
La 0.000 0.000 0.767
Zr 0.500 0.500 0.500
Al 0.500 0.500 0.000

Density of states at the Fermi level (states/eV/f.u.): 4.23
Final energy (eV/atom): -5.554
Formation energy (eV per atom): -0.018
Volume (Å³ per cell): 112



Material: LiBeInF2
Method: DFT, PBE
State: optimized geometry

Cell lengths 3.430, 3.430, 7.509 Å; angles 90.00, 90.00, 90.00 degrees
Atoms (fractional coordinates):
Li 0.000 0.000 0.000
Be 0.000 0.000 0.500
In 0.500 0.500 0.000
F 0.000 0.500 0.500
F 0.500 0.000 0.500

Density of states at the Fermi level (states/eV/f.u.): 0.49
Formation energy (no corrections) (meV/atom): -1386
Final energy (eV/atom): -3.810
Volume (Å³ per cell): 88



Material: YIn2W
Method: DFT, PBE
State: optimized geometry

Cell lengths 10.931, 10.931, 10.931 Å; angles 157.20, 157.20, 32.46 degrees
Atoms (fractional coordinates):
Y 0.000 0.000 0.000
Y 0.750 0.250 0.500
In 0.157 0.625 0.032
In 0.375 0.407 0.532
In 0.593 0.125 0.968
In 0.875 0.843 0.468
W 0.250 0.750 0.500
W 0.500 0.500 0.000

Density of states at the Fermi level (states/eV/f.u.): 5.47
Final energy (eV/atom): -5.566
Formation energy (eV per atom): 0.658
Volume (Å³ per cell): 196
Energy above the most stable polymorph in this dataset (eV per formula unit): 1.871



Material: TbPmAgPb
Method: DFT, PBE
State: optimized geometry

Cell lengths 5.358, 5.358, 5.358 Å; angles 60.00, 60.00, 60.00 degrees
Atoms (fractional coordinates):
Tb 0.000 0.000 0.000
Pm 0.500 0.500 0.500
Ag 0.250 0.250 0.250
Pb 0.750 0.750 0.750

Density of states at the Fermi level (states/eV/f.u.): 3.26
Final energy (eV/atom): -4.396
Formation energy (eV per atom): -0.411
Volume (Å³ per cell): 109



- Look up the final energy of the second one.
  -3.810 eV/atom



- What is the formula in the fourth record?
  TbPmAgPb